*w*
Material: Zn2Pd5
Method: DFT, PBE
State: optimized geometry

```
data_Zn2Pd5
_chemical_formula_sum 'Zn8 Pd20'
_space_group_name_H-M_alt 'I b a m'
_space_group_IT_number 72
_space_group_name_Hall '-I 2 2c'
_cell_length_a 6.412
_cell_length_b 12.150
_cell_length_c 5.489
_cell_angle_alpha 90.00
_cell_angle_beta 90.00
_cell_angle_gamma 90.00
loop_
_atom_site_label
_atom_site_type_symbol
_atom_site_fract_x
_atom_site_fract_y
_atom_site_fract_z
Zn1 Zn 0.220 0.122 0.000
Pd1 Pd 0.000 0.271 0.250
Pd2 Pd 0.000 0.500 0.250
Pd3 Pd 0.172 0.092 0.500
```

Values from the calculation:
Density of states at the Fermi level: 15.4 states/eV per cell
V: 15.27 A^3/atom
Spin magnetization: 0.000 μB/atom

*x*
Material: Zn2Pd5
Method: DFT, PBE
State: optimized geometry

```
data_Zn2Pd5
_chemical_formula_sum 'Zn8 Pd20'
_space_group_name_H-M_alt 'C 1 2/c 1'
_space_group_IT_number 15
_space_group_name_Hall '-C 2yc'
_cell_length_a 12.461
_cell_length_b 4.648
_cell_length_c 7.265
_cell_angle_alpha 90.00
_cell_angle_beta 95.39
_cell_angle_gamma 90.00
loop_
_atom_site_label
_atom_site_type_symbol
_atom_site_fract_x
_atom_site_fract_y
_atom_site_fract_z
Zn1 Zn 0.077 0.197 0.104
Pd1 Pd 0.000 0.284 0.750
Pd2 Pd 0.133 0.308 0.457
Pd3 Pd 0.217 0.182 0.821
```

Values from the calculation:
Density of states at the Fermi level: 14.7 states/eV per cell
V: 14.96 A^3/atom
Spin magnetization: 0.000 μB/atom

Computed relative energies in units of kJ/mol of atoms: *w* 3.6; *x* 0.0